Arrangement w

Ac2YPd | GGA-PBE | relaxed

Volume   35.8 Å³/atom
Symmetry   R-3m, No. 166
N(E_F)   4.8 states/eV/f.u.

POSCAR file:
```
Ac2YPd
1.0
3.764 0.000 0.000
-1.882 3.260 0.000
0.000 0.000 35.017
Ac Y Pd
6 3 3
direct
0.000 0.000 0.079 Ac
0.000 0.000 0.921 Ac
0.333 0.667 0.588 Ac
0.333 0.667 0.746 Ac
0.667 0.333 0.254 Ac
0.667 0.333 0.412 Ac
0.000 0.000 0.500 Y
0.333 0.667 0.167 Y
0.667 0.333 0.833 Y
0.000 0.000 0.000 Pd
0.333 0.667 0.667 Pd
0.667 0.333 0.333 Pd
```


Arrangement x

Ac2YPd | GGA-PBE | relaxed

Volume   33.4 Å³/atom
Symmetry   P4/mmm, No. 123
N(E_F)   5.4 states/eV/f.u.

POSCAR file:
```
Ac2YPd
1.0
3.898 0.000 0.000
0.000 3.898 0.000
0.000 0.000 8.793
Ac Y Pd
2 1 1
direct
0.000 0.000 0.205 Ac
0.000 0.000 0.795 Ac
0.500 0.500 0.500 Y
0.500 0.500 0.000 Pd
```


Stability summary - winner: arrangement x; margin: 0.461 eV/atom.


Arrangement w

AcZnPd | GGA-PBE | relaxed

Volume   27.7 Å³/atom
Symmetry   F-43m, No. 216
N(E_F)   2.6 states/eV/f.u.

POSCAR file:
```
AcZnPd
1.0
6.925 0.000 0.000
0.000 6.925 0.000
0.000 0.000 6.925
Ac Zn Pd
4 4 4
direct
0.000 0.000 0.000 Ac
0.000 0.500 0.500 Ac
0.500 0.000 0.500 Ac
0.500 0.500 0.000 Ac
0.000 0.000 0.500 Zn
0.000 0.500 0.000 Zn
0.500 0.000 0.000 Zn
0.500 0.500 0.500 Zn
0.250 0.250 0.750 Pd
0.250 0.750 0.250 Pd
0.750 0.250 0.250 Pd
0.750 0.750 0.750 Pd
```


Arrangement x

AcZnPd | GGA-PBE | relaxed

Volume   24.7 Å³/atom
Symmetry   Immm, No. 71
N(E_F)   1.8 states/eV/f.u.

POSCAR file:
```
AcZnPd
1.0
4.575 0.000 0.000
0.000 7.952 0.000
0.000 0.000 8.150
Ac Zn Pd
4 4 4
direct
0.000 0.000 0.245 Ac
0.000 0.000 0.755 Ac
0.500 0.500 0.255 Ac
0.500 0.500 0.745 Ac
0.000 0.336 0.000 Zn
0.000 0.664 0.000 Zn
0.500 0.164 0.500 Zn
0.500 0.836 0.500 Zn
0.000 0.321 0.500 Pd
0.000 0.679 0.500 Pd
0.500 0.179 0.000 Pd
0.500 0.821 0.000 Pd
```


Stability summary - winner: arrangement x; margin: 0.163 eV/atom.


Arrangement w

AcZnPd | GGA-PBE | relaxed

Volume   23.8 Å³/atom
Symmetry   Pnma, No. 62
N(E_F)   1.5 states/eV/f.u.

POSCAR file:
```
AcZnPd
1.0
7.563 0.000 0.000
0.000 4.419 0.000
0.000 0.000 8.533
Ac Zn Pd
4 4 4
direct
0.031 0.250 0.198 Ac
0.469 0.750 0.698 Ac
0.531 0.250 0.302 Ac
0.969 0.750 0.802 Ac
0.155 0.250 0.567 Zn
0.345 0.750 0.067 Zn
0.655 0.250 0.933 Zn
0.845 0.750 0.433 Zn
0.230 0.750 0.393 Pd
0.270 0.250 0.893 Pd
0.730 0.750 0.107 Pd
0.770 0.250 0.607 Pd
```


Arrangement x

AcZnPd | GGA-PBE | relaxed

Volume   24.8 Å³/atom
Symmetry   P-6m2, No. 187
N(E_F)   2.1 states/eV/f.u.

POSCAR file:
```
AcZnPd
1.0
4.535 0.000 0.000
-2.267 3.927 0.000
0.000 0.000 4.176
Ac Zn Pd
1 1 1
direct
0.000 0.000 0.000 Ac
0.333 0.667 0.500 Zn
0.667 0.333 0.500 Pd
```


Arrangement y

AcZnPd | GGA-PBE | relaxed

Volume   25.3 Å³/atom
Symmetry   I4mm, No. 107
N(E_F)   1.8 states/eV/f.u.

POSCAR file:
```
AcZnPd
1.0
4.079 0.000 0.000
0.000 4.079 0.000
0.000 0.000 9.129
Ac Zn Pd
2 2 2
direct
0.000 0.000 0.000 Ac
0.500 0.500 0.500 Ac
0.000 0.000 0.336 Zn
0.500 0.500 0.836 Zn
0.000 0.000 0.645 Pd
0.500 0.500 0.145 Pd
```


Stability summary - winner: arrangement x; margin: 0.007 eV/atom.


Arrangement w

Ac2ZnPd2 | GGA-PBE | relaxed

Volume   25.3 Å³/atom
Symmetry   Immm, No. 71
N(E_F)   3.8 states/eV/f.u.

POSCAR file:
```
Ac2ZnPd2
1.0
4.546 0.000 0.000
0.000 6.062 0.000
0.000 0.000 9.174
Ac Zn Pd
4 2 4
direct
0.000 0.000 0.200 Ac
0.000 0.000 0.800 Ac
0.500 0.500 0.300 Ac
0.500 0.500 0.700 Ac
0.000 0.500 0.000 Zn
0.500 0.000 0.500 Zn
0.000 0.258 0.500 Pd
0.000 0.742 0.500 Pd
0.500 0.242 0.000 Pd
0.500 0.758 0.000 Pd
```


Arrangement x

Ac2ZnPd2 | GGA-PBE | relaxed

Volume   27.5 Å³/atom
Symmetry   Ibam, No. 72
N(E_F)   2.8 states/eV/f.u.

POSCAR file:
```
Ac2ZnPd2
1.0
-3.579 6.036 3.185
3.579 -6.036 3.185
3.579 6.036 -3.185
Ac Zn Pd
4 2 4
direct
0.142 0.179 0.321 Ac
0.358 0.679 0.036 Ac
0.642 0.321 0.964 Ac
0.858 0.821 0.679 Ac
0.250 0.750 0.500 Zn
0.750 0.250 0.500 Zn
0.111 0.734 0.845 Pd
0.389 0.234 0.623 Pd
0.611 0.766 0.377 Pd
0.889 0.266 0.155 Pd
```


Stability summary - winner: arrangement w; margin: 0.027 eV/atom.


Arrangement w

Ac3ZnPd2 | GGA-PBE | relaxed

Volume   29.8 Å³/atom
Symmetry   Pnma, No. 62
N(E_F)   5.0 states/eV/f.u.

POSCAR file:
```
Ac3ZnPd2
1.0
13.087 0.000 0.000
0.000 4.240 0.000
0.000 0.000 12.909
Ac Zn Pd
12 4 8
direct
0.069 0.250 0.129 Ac
0.121 0.750 0.572 Ac
0.200 0.250 0.825 Ac
0.300 0.750 0.325 Ac
0.379 0.250 0.072 Ac
0.431 0.750 0.629 Ac
0.569 0.250 0.371 Ac
0.621 0.750 0.928 Ac
0.700 0.250 0.675 Ac
0.800 0.750 0.175 Ac
0.879 0.250 0.428 Ac
0.931 0.750 0.871 Ac
0.123 0.250 0.376 Zn
0.377 0.750 0.876 Zn
0.623 0.250 0.124 Zn
0.877 0.750 0.624 Zn
0.017 0.750 0.307 Pd
0.198 0.750 0.999 Pd
0.302 0.250 0.499 Pd
0.483 0.250 0.807 Pd
0.517 0.750 0.193 Pd
0.698 0.750 0.501 Pd
0.802 0.250 0.001 Pd
0.983 0.250 0.693 Pd
```


Arrangement x

Ac3ZnPd2 | GGA-PBE | relaxed

Volume   31.4 Å³/atom
Symmetry   R-3c, No. 167
N(E_F)   5.1 states/eV/f.u.

POSCAR file:
```
Ac3ZnPd2
1.0
4.116 2.377 6.424
-4.116 2.377 6.424
0.000 -4.753 6.424
Ac Zn Pd
6 2 4
direct
0.039 0.750 0.461 Ac
0.250 0.539 0.961 Ac
0.461 0.039 0.750 Ac
0.539 0.961 0.250 Ac
0.750 0.461 0.039 Ac
0.961 0.250 0.539 Ac
0.000 0.000 0.000 Zn
0.500 0.500 0.500 Zn
0.139 0.139 0.139 Pd
0.361 0.361 0.361 Pd
0.639 0.639 0.639 Pd
0.861 0.861 0.861 Pd
```


Stability summary - winner: arrangement w; margin: 0.046 eV/atom.


Arrangement w

Ac3Zn2Pd3 | GGA-PBE | relaxed

Volume   26.3 Å³/atom
Symmetry   P6_3/mcm, No. 193
N(E_F)   5.4 states/eV/f.u.

POSCAR file:
```
Ac3Zn2Pd3
1.0
8.951 0.000 0.000
-4.476 7.752 0.000
0.000 0.000 6.054
Ac Zn Pd
6 4 6
direct
0.000 0.291 0.250 Ac
0.000 0.709 0.750 Ac
0.291 0.000 0.250 Ac
0.291 0.291 0.750 Ac
0.709 0.000 0.750 Ac
0.709 0.709 0.250 Ac
0.333 0.667 0.000 Zn
0.333 0.667 0.500 Zn
0.667 0.333 0.000 Zn
0.667 0.333 0.500 Zn
0.000 0.383 0.750 Pd
0.000 0.617 0.250 Pd
0.383 0.000 0.750 Pd
0.383 0.383 0.250 Pd
0.617 0.000 0.250 Pd
0.617 0.617 0.750 Pd
```


Arrangement x

Ac3Zn2Pd3 | GGA-PBE | relaxed

Volume   25.3 Å³/atom
Symmetry   Cmcm, No. 63
N(E_F)   4.4 states/eV/f.u.

POSCAR file:
```
Ac3Zn2Pd3
1.0
2.176 -6.188 0.000
2.176 6.188 0.000
0.000 0.000 15.005
Ac Zn Pd
6 4 6
direct
0.083 0.917 0.608 Ac
0.083 0.917 0.892 Ac
0.355 0.645 0.750 Ac
0.645 0.355 0.250 Ac
0.917 0.083 0.108 Ac
0.917 0.083 0.392 Ac
0.217 0.783 0.082 Zn
0.217 0.783 0.418 Zn
0.783 0.217 0.582 Zn
0.783 0.217 0.918 Zn
0.325 0.675 0.250 Pd
0.394 0.606 0.544 Pd
0.394 0.606 0.956 Pd
0.606 0.394 0.044 Pd
0.606 0.394 0.456 Pd
0.675 0.325 0.750 Pd
```


Stability summary - winner: arrangement x; margin: 0.150 eV/atom.


Arrangement w

Ac3Zn3Pd8 | GGA-PBE | relaxed

Volume   20.5 Å³/atom
Symmetry   C2/m, No. 12
N(E_F)   6.2 states/eV/f.u.

POSCAR file:
```
Ac3Zn3Pd8
1.0
8.130 -2.244 0.000
8.130 2.244 0.000
-4.998 0.000 7.876
Ac Zn Pd
3 3 8
direct
0.000 0.000 0.000 Ac
0.301 0.301 0.336 Ac
0.699 0.699 0.664 Ac
0.000 0.000 0.500 Zn
0.323 0.323 0.994 Zn
0.677 0.677 0.006 Zn
0.113 0.113 0.387 Pd
0.128 0.128 0.834 Pd
0.348 0.348 0.742 Pd
0.492 0.492 0.313 Pd
0.508 0.508 0.687 Pd
0.652 0.652 0.258 Pd
0.872 0.872 0.166 Pd
0.887 0.887 0.613 Pd
```


Arrangement x

Ac3Zn3Pd8 | GGA-PBE | relaxed

Volume   20.6 Å³/atom
Symmetry   Immm, No. 71
N(E_F)   5.7 states/eV/f.u.

POSCAR file:
```
Ac3Zn3Pd8
1.0
-2.203 4.886 6.711
2.203 -4.886 6.711
2.203 4.886 -6.711
Ac Zn Pd
3 3 8
direct
0.000 0.000 0.000 Ac
0.299 0.299 0.000 Ac
0.701 0.701 0.000 Ac
0.268 0.500 0.768 Zn
0.500 0.000 0.500 Zn
0.732 0.500 0.232 Zn
0.030 0.678 0.352 Pd
0.182 0.890 0.292 Pd
0.326 0.678 0.648 Pd
0.401 0.110 0.292 Pd
0.599 0.890 0.708 Pd
0.674 0.322 0.352 Pd
0.818 0.110 0.708 Pd
0.970 0.322 0.648 Pd
```


Stability summary - winner: arrangement w; margin: 0.037 eV/atom.


Arrangement w

AcZn3Pd2 | GGA-PBE | relaxed

Volume   19.4 Å³/atom
Symmetry   P6/mmm, No. 191
N(E_F)   3.3 states/eV/f.u.

POSCAR file:
```
AcZn3Pd2
1.0
5.581 0.000 0.000
-2.790 4.833 0.000
0.000 0.000 4.307
Ac Zn Pd
1 3 2
direct
0.000 0.000 0.000 Ac
0.000 0.500 0.500 Zn
0.500 0.000 0.500 Zn
0.500 0.500 0.500 Zn
0.333 0.667 0.000 Pd
0.667 0.333 0.000 Pd
```


Arrangement x

AcZn3Pd2 | GGA-PBE | relaxed

Volume   20.1 Å³/atom
Symmetry   C2/m, No. 12
N(E_F)   2.5 states/eV/f.u.

POSCAR file:
```
AcZn3Pd2
1.0
8.022 -2.112 0.000
8.022 2.112 0.000
-3.604 0.000 7.106
Ac Zn Pd
2 6 4
direct
0.144 0.144 0.063 Ac
0.856 0.856 0.937 Ac
0.036 0.036 0.381 Zn
0.312 0.312 0.537 Zn
0.406 0.406 0.334 Zn
0.594 0.594 0.666 Zn
0.688 0.688 0.463 Zn
0.964 0.964 0.619 Zn
0.196 0.196 0.684 Pd
0.480 0.480 0.816 Pd
0.520 0.520 0.184 Pd
0.804 0.804 0.316 Pd
```


Stability summary - winner: arrangement w; margin: 0.055 eV/atom.


Arrangement w

AcZn4Pd2 | GGA-PBE | relaxed

Volume   18.7 Å³/atom
Symmetry   P4_2/mnm, No. 136
N(E_F)   2.5 states/eV/f.u.

POSCAR file:
```
AcZn4Pd2
1.0
7.859 0.000 0.000
0.000 7.859 0.000
0.000 0.000 4.228
Ac Zn Pd
2 8 4
direct
0.000 0.000 0.000 Ac
0.500 0.500 0.500 Ac
0.089 0.352 0.500 Zn
0.148 0.589 0.000 Zn
0.352 0.089 0.500 Zn
0.411 0.852 0.000 Zn
0.589 0.148 0.000 Zn
0.648 0.911 0.500 Zn
0.852 0.411 0.000 Zn
0.911 0.648 0.500 Zn
0.222 0.778 0.500 Pd
0.278 0.278 0.000 Pd
0.722 0.722 0.000 Pd
0.778 0.222 0.500 Pd
```


Arrangement x

AcZn4Pd2 | GGA-PBE | relaxed

Volume   19.2 Å³/atom
Symmetry   Cmmm, No. 65
N(E_F)   2.5 states/eV/f.u.

POSCAR file:
```
AcZn4Pd2
1.0
4.229 0.000 0.000
0.000 15.029 0.000
0.000 0.000 4.232
Ac Zn Pd
2 8 4
direct
0.000 0.000 0.000 Ac
0.500 0.500 0.000 Ac
0.000 0.194 0.500 Zn
0.000 0.309 0.000 Zn
0.000 0.691 0.000 Zn
0.000 0.806 0.500 Zn
0.500 0.191 0.000 Zn
0.500 0.306 0.500 Zn
0.500 0.694 0.500 Zn
0.500 0.809 0.000 Zn
0.000 0.408 0.500 Pd
0.000 0.592 0.500 Pd
0.500 0.092 0.500 Pd
0.500 0.908 0.500 Pd
```


Stability summary - winner: arrangement w; margin: 0.080 eV/atom.


Arrangement w

Ac3Zn2Pd7 | GGA-PBE | relaxed

Volume   22.8 Å³/atom
Symmetry   Cmmm, No. 65
N(E_F)   3.8 states/eV/f.u.

POSCAR file:
```
Ac3Zn2Pd7
1.0
2.203 -14.540 0.000
2.203 14.540 0.000
0.000 0.000 4.279
Ac Zn Pd
3 2 7
direct
0.000 0.000 0.000 Ac
0.198 0.802 0.000 Ac
0.802 0.198 0.000 Ac
0.416 0.584 0.500 Zn
0.584 0.416 0.500 Zn
0.126 0.874 0.500 Pd
0.298 0.702 0.500 Pd
0.371 0.629 0.000 Pd
0.500 0.500 0.500 Pd
0.629 0.371 0.000 Pd
0.702 0.298 0.500 Pd
0.874 0.126 0.500 Pd
```


Arrangement x

Ac3Zn2Pd7 | GGA-PBE | relaxed

Volume   21.5 Å³/atom
Symmetry   P2/m, No. 10
N(E_F)   3.6 states/eV/f.u.

POSCAR file:
```
Ac3Zn2Pd7
1.0
4.362 0.000 0.000
0.000 4.262 0.000
-2.152 0.000 13.846
Ac Zn Pd
3 2 7
direct
0.000 0.000 0.000 Ac
0.320 0.500 0.640 Ac
0.680 0.500 0.360 Ac
0.129 0.000 0.259 Zn
0.871 0.000 0.741 Zn
0.081 0.500 0.160 Pd
0.221 0.000 0.441 Pd
0.419 0.000 0.840 Pd
0.500 0.500 0.000 Pd
0.581 0.000 0.160 Pd
0.779 0.000 0.559 Pd
0.919 0.500 0.840 Pd
```


Stability summary - winner: arrangement x; margin: 0.173 eV/atom.


Arrangement w

AcZrPd2 | GGA-PBE | relaxed

Volume   22.9 Å³/atom
Symmetry   P4/mmm, No. 123
N(E_F)   4.0 states/eV/f.u.

POSCAR file:
```
AcZrPd2
1.0
3.522 0.000 0.000
0.000 3.522 0.000
0.000 0.000 7.398
Ac Zr Pd
1 1 2
direct
0.000 0.000 0.000 Ac
0.000 0.000 0.500 Zr
0.500 0.500 0.305 Pd
0.500 0.500 0.695 Pd
```


Arrangement x

AcZrPd2 | GGA-PBE | relaxed

Volume   22.8 Å³/atom
Symmetry   P4/mmm, No. 123
N(E_F)   4.2 states/eV/f.u.

POSCAR file:
```
AcZrPd2
1.0
5.143 0.000 0.000
0.000 5.143 0.000
0.000 0.000 3.448
Ac Zr Pd
1 1 2
direct
0.000 0.000 0.000 Ac
0.500 0.500 0.000 Zr
0.000 0.500 0.500 Pd
0.500 0.000 0.500 Pd
```


Stability summary - winner: arrangement w; margin: 0.127 eV/atom.